BaCdP | PBE-GGA | optimized geometry

Cell lengths 4.3477, 5.1022, 8.1618 Å; angles 81.18, 90.00, 90.00 degrees
With the nearest neighbours (Å) after each atom.
Fractional positions:
Ba  0.3116  0.7424  0.0910  6 P 3.29-3.51, 1 Ba 3.62, 2 Cd 3.66
Ba  0.3115  0.1901  0.7019  6 P 3.29-3.51, 1 Ba 3.62, 2 Cd 3.66
Cd  0.8118  0.2347  0.3189  1 P 2.66, 2 Cd 2.84-2.85
Cd  0.8118  0.6976  0.4740  1 P 2.66, 2 Cd 2.84-2.85
P  0.8115  0.2825  0.9903  1 P 2.23
P  0.8115  0.6499  0.8026  1 P 2.23

Values from the calculation:
Energy above the most stable polymorph in this dataset in meV/atom: 91
Space-group type: P2/m

=====

BaCd2P | PBE-GGA | optimized geometry

Cell lengths 4.1528, 4.2793, 6.7769 Å; angles 73.43, 90.00, 90.00 degrees
With the nearest neighbours (Å) after each atom.
Fractional positions:
Ba  0.5000  0.7344  0.6753  4 P 3.22-3.24, 1 Cd 3.55
Cd  0.0000  0.9975  0.1207  4 Cd 3.05-3.06, 2 P 3.13-3.23
Cd  0.5000  0.4509  0.2207  2 P 2.69
P  0.0000  0.3172  0.4833  2 Cd 2.69

Values from the calculation:
Raw total energy in eV/atom: -2.669
Space-group type: Pm

=====

BaCdP2 | PBE-GGA | optimized geometry

Cell lengths 6.0616, 6.0616, 6.0616 Å; angles 144.17, 126.24, 66.30 degrees
With the nearest neighbours (Å) after each atom.
Fractional positions:
Ba  0.5121  0.5121  0.0000  8 P 3.37-3.62, 4 Cd 3.44-3.53, 2 Ba 3.73
Cd  0.2170  0.7170  0.5000  8 P 3.26-3.64, 4 Ba 3.44-3.53
P  0.9536  0.9536  0.0000  2 P 2.32
P  0.8173  0.3173  0.5000  2 P 2.32

Values from the calculation:
Raw total energy in eV/atom: -3.710
Space-group type: Imm2

=====

BaCdP | PBE-GGA | optimized geometry

Cell lengths 7.9146, 4.3575, 11.4203 Å; angles 90.00, 122.15, 90.00 degrees
With the nearest neighbours (Å) after each atom.
Fractional positions:
Ba  0.3335  0.0000  0.5569  5 P 3.20-3.46, 1 Ba 3.50, 2 Cd 3.52
Ba  0.6665  0.0000  0.4431  5 P 3.20-3.46, 1 Ba 3.50, 2 Cd 3.52
Ba  0.3335  0.5000  0.0569  5 P 3.20-3.46, 1 Ba 3.50, 2 Cd 3.52
Ba  0.6665  0.5000  0.9431  5 P 3.20-3.46, 1 Ba 3.50, 2 Cd 3.52
Cd  0.9363  0.0000  0.8448  3 P 2.72-2.84
Cd  0.0637  0.0000  0.1552  3 P 2.72-2.84
Cd  0.9363  0.5000  0.3448  3 P 2.72-2.84
Cd  0.0637  0.5000  0.6552  3 P 2.72-2.84
P  0.2657  0.0000  0.8097  3 Cd 2.72-2.84
P  0.7343  0.0000  0.1903  3 Cd 2.72-2.84
P  0.2657  0.5000  0.3097  3 Cd 2.72-2.84
P  0.7343  0.5000  0.6903  3 Cd 2.72-2.84

Values from the calculation:
Energy above the most stable polymorph in this dataset in meV/atom: 16
Space-group type: C2/m

=====

BaCd2P | PBE-GGA | optimized geometry

Cell lengths 4.4997, 5.3511, 5.3421 Å; angles 70.38, 90.00, 90.00 degrees
With the nearest neighbours (Å) after each atom.
Fractional positions:
Ba  0.5000  0.7500  0.7500  2 P 3.08
Cd  0.0000  0.0712  0.0726  2 P 2.74
Cd  0.0000  0.4288  0.4274  2 P 2.74
P  0.5000  0.2500  0.2500  4 Cd 2.74

Values from the calculation:
Raw total energy in eV/atom: -2.622
Space-group type: Cmmm

=====

BaCdP2 | PBE-GGA | optimized geometry

Cell lengths 7.1113, 7.1113, 7.1113 Å; angles 35.72, 35.72, 35.72 degrees
With the nearest neighbours (Å) after each atom.
Fractional positions:
Ba  0.5184  0.5184  0.5184  6 P 3.25-3.48, 3 Cd 3.62
Cd  0.7215  0.7215  0.7215  6 P 3.01-3.21
P  0.9718  0.9718  0.9718  3 P 2.54
P  0.2883  0.2883  0.2883  3 P 2.54

Values from the calculation:
Raw total energy in eV/atom: -3.592
Space-group type: R3m

=====

Ba8CdP2 | PBE-GGA | optimized geometry

Cell lengths 6.5581, 10.6773, 10.6749 Å; angles 120.01, 90.00, 90.00 degrees
With the nearest neighbours (Å) after each atom.
Fractional positions:
Ba  0.2594  0.6666  0.3332  2 P 3.23-3.32
Ba  0.7406  0.3334  0.6668  2 P 3.23-3.32
Ba  0.7462  0.8299  0.1684  1 P 3.04
Ba  0.2538  0.1685  0.3386  1 P 3.04
Ba  0.2538  0.6614  0.8298  1 P 3.04
Ba  0.2538  0.1701  0.8316  1 P 3.04
Ba  0.7462  0.8315  0.6614  1 P 3.04
Ba  0.7462  0.3386  0.1702  1 P 3.04
Cd  0.0000  0.0000  0.0000  6 Ba 3.55
P  0.2338  0.3334  0.6668  5 Ba 3.04-3.32
P  0.7662  0.6666  0.3332  5 Ba 3.04-3.32

Values from the calculation:
Raw total energy in eV/atom: -2.768
Space-group type: P-3

=====

Ba3CdP3 | PBE-GGA | optimized geometry

Cell lengths 6.8813, 10.5964, 13.3152 Å; angles 90.00, 90.00, 108.95 degrees
With the nearest neighbours (Å) after each atom.
Fractional positions:
Ba  0.6807  0.0000  0.8510  5 P 3.23-3.46, 2 Cd 3.41
Ba  0.8193  0.0000  0.3510  5 P 3.23-3.46, 2 Cd 3.41
Ba  0.1807  0.0000  0.6490  5 P 3.23-3.46, 2 Cd 3.41
Ba  0.3193  0.0000  0.1490  5 P 3.23-3.46, 2 Cd 3.41
Ba  0.0186  0.6491  0.3684  6 P 3.29-3.58, 1 Cd 3.29
Ba  0.4814  0.3509  0.8684  6 P 3.29-3.58, 1 Cd 3.29
Ba  0.8694  0.3509  0.1316  6 P 3.29-3.58, 1 Cd 3.29
Ba  0.6306  0.6491  0.6316  6 P 3.29-3.58, 1 Cd 3.29
Ba  0.9814  0.3509  0.6316  6 P 3.29-3.58, 1 Cd 3.29
Ba  0.5186  0.6491  0.1316  6 P 3.29-3.58, 1 Cd 3.29
Ba  0.1306  0.6491  0.8684  6 P 3.29-3.58, 1 Cd 3.29
Ba  0.3694  0.3509  0.3684  6 P 3.29-3.58, 1 Cd 3.29
Cd  0.4158  0.8316  0.5000  4 P 2.64-2.66
Cd  0.0842  0.1684  0.0000  4 P 2.64-2.66
Cd  0.5842  0.1684  0.5000  4 P 2.64-2.66
Cd  0.9158  0.8316  0.0000  4 P 2.64-2.66
P  0.2185  0.0000  0.8947  2 Cd 2.66
P  0.2815  0.0000  0.3947  2 Cd 2.66
P  0.7185  0.0000  0.6053  2 Cd 2.66
P  0.7815  0.0000  0.1053  2 Cd 2.66
P  0.5493  0.6787  0.3800  1 Cd 2.64
P  0.9507  0.3213  0.8800  1 Cd 2.64
P  0.3705  0.3213  0.1200  1 Cd 2.64
P  0.1295  0.6787  0.6200  1 Cd 2.64
P  0.4507  0.3213  0.6200  1 Cd 2.64
P  0.0493  0.6787  0.1200  1 Cd 2.64
P  0.6295  0.6787  0.8800  1 Cd 2.64
P  0.8705  0.3213  0.3800  1 Cd 2.64

Values from the calculation:
Raw total energy in eV/atom: -4.051
Space-group type: Cmce

=====

BaCdP | PBE-GGA | optimized geometry

Cell lengths 6.3058, 6.3067, 3.8514 Å; angles 72.21, 72.23, 35.56 degrees
With the nearest neighbours (Å) after each atom.
Fractional positions:
Ba  0.0043  0.0043  0.9957  5 Cd 3.32-3.61, 5 P 3.47-3.52
Cd  0.2962  0.2962  0.7038  4 P 2.94
P  0.6995  0.6995  0.3005  4 Cd 2.94

Values from the calculation:
Energy above the most stable polymorph in this dataset in meV/atom: 457
Space-group type: I4mm

=====

BaCd2P | PBE-GGA | optimized geometry

Cell lengths 5.6746, 5.6746, 5.6746 Å; angles 133.21, 110.64, 87.86 degrees
With the nearest neighbours (Å) after each atom.
Fractional positions:
Ba  0.2697  0.7697  0.5000  4 P 3.28-3.65, 4 Cd 3.46-3.54
Cd  0.9483  0.9483  0.0000  2 Cd 2.92, 1 P 3.17
Cd  0.7211  0.2211  0.5000  2 P 2.61
P  0.5609  0.5609  0.0000  2 Cd 2.61

Values from the calculation:
Raw total energy in eV/atom: -2.561
Space-group type: Imm2

=====

BaCd2P | PBE-GGA | optimized geometry

Cell lengths 4.5265, 4.5265, 5.5113 Å; angles 90.00, 90.00, 90.00 degrees
With the nearest neighbours (Å) after each atom.
Fractional positions:
Ba  0.0000  0.5000  0.5000  4 P 3.20, 8 Cd 3.57
Cd  0.0000  0.0000  0.0000  4 Cd 3.20, 4 Ba 3.57, 4 P 3.57
Cd  0.5000  0.5000  0.0000  4 Cd 3.20, 4 P 3.57, 4 Ba 3.57
P  0.5000  0.0000  0.5000  4 Ba 3.20, 8 Cd 3.57

Values from the calculation:
Raw total energy in eV/atom: -2.514
Space-group type: P4/mmm

=====

BaCdP2 | PBE-GGA | optimized geometry

Cell lengths 3.2894, 4.2355, 8.3700 Å; angles 90.00, 90.00, 90.00 degrees
With the nearest neighbours (Å) after each atom.
Fractional positions:
Ba  0.0000  0.0000  0.4489  5 P 3.11-3.23, 2 Ba 3.29
Cd  0.5000  0.5000  0.9551  5 P 2.56-2.86
P  0.0000  0.0000  0.8348  4 Cd 2.86
P  0.5000  0.5000  0.2613  1 Cd 2.56

Values from the calculation:
Raw total energy in eV/atom: -3.391
Space-group type: Pmm2

=====

Ba2CdP2 | PBE-GGA | optimized geometry

Cell lengths 8.2410, 8.2410, 4.4636 Å; angles 90.00, 90.00, 90.00 degrees
With the nearest neighbours (Å) after each atom.
Fractional positions:
P  0.3333  0.8333  0.0000  2 Cd 3.07, 6 Ba 3.14-3.40
P  0.8333  0.6667  0.0000  2 Cd 3.07, 6 Ba 3.14-3.40
P  0.6667  0.1667  0.0000  2 Cd 3.07, 6 Ba 3.14-3.40
P  0.1667  0.3333  0.0000  2 Cd 3.07, 6 Ba 3.14-3.40
Ba  0.1440  0.6440  0.5000  6 P 3.14-3.40, 1 Ba 3.36
Ba  0.6440  0.8560  0.5000  6 P 3.14-3.40, 1 Ba 3.36
Ba  0.8560  0.3560  0.5000  6 P 3.14-3.40, 1 Ba 3.36
Ba  0.3560  0.1440  0.5000  6 P 3.14-3.40, 1 Ba 3.36
Cd  0.0000  0.0000  0.0000  4 P 3.07
Cd  0.5000  0.5000  0.0000  4 P 3.07

Values from the calculation:
Raw total energy in eV/atom: -3.695
Space-group type: P4/mbm

=====

BaCdP2 | PBE-GGA | optimized geometry

Cell lengths 4.1149, 4.8989, 5.6533 Å; angles 92.95, 90.00, 90.00 degrees
With the nearest neighbours (Å) after each atom.
Fractional positions:
Ba  0.5000  0.2500  0.2500  8 P 3.29-3.48, 2 Cd 3.64
Cd  0.5000  0.7500  0.7500  4 P 2.70
P  0.0000  0.7110  0.0556  1 P 2.21
P  0.0000  0.7890  0.4444  1 P 2.21

Values from the calculation:
Raw total energy in eV/atom: -3.883
Space-group type: P2/m

=====

BaCdP | PBE-GGA | optimized geometry

Cell lengths 5.1280, 5.1280, 5.1280 Å; angles 60.00, 60.00, 60.00 degrees
With the nearest neighbours (Å) after each atom.
Fractional positions:
Ba  0.5000  0.5000  0.5000  4 Cd 3.14
Cd  0.7500  0.7500  0.7500  4 Ba 3.14, 4 P 3.14
P  0.0000  0.0000  0.0000  4 Cd 3.14

Values from the calculation:
Energy above the most stable polymorph in this dataset in meV/atom: 530
Space-group type: F-43m

=====

BaCdP2 | PBE-GGA | optimized geometry

Cell lengths 4.4274, 4.4274, 6.5979 Å; angles 65.52, 65.52, 70.67 degrees
With the nearest neighbours (Å) after each atom.
Fractional positions:
Ba  0.7500  0.7500  0.7500  6 P 3.18-3.47, 2 Cd 3.44
Cd  0.2500  0.2500  0.2500  6 P 2.80-2.95
P  0.9240  0.9240  0.1072  1 P 2.25
P  0.5760  0.5760  0.3928  1 P 2.25

Values from the calculation:
Raw total energy in eV/atom: -3.802
Space-group type: C2/m

=====

BaCd3P | PBE-GGA | optimized geometry

Cell lengths 5.3422, 5.3422, 5.3422 Å; angles 90.00, 90.00, 90.00 degrees
With the nearest neighbours (Å) after each atom.
Fractional positions:
P  0.0000  0.0000  0.0000  6 Cd 2.67
Ba  0.5000  0.5000  0.5000  12 Cd 3.78
Cd  0.0000  0.5000  0.0000  2 P 2.67
Cd  0.0000  0.0000  0.5000  2 P 2.67
Cd  0.5000  0.0000  0.0000  2 P 2.67

Values from the calculation:
Energy above the most stable polymorph in this dataset in meV/atom: 0
Space-group type: Pm-3m

=====

BaCd4P | PBE-GGA | optimized geometry

Cell lengths 6.0984, 6.0984, 6.0984 Å; angles 60.00, 60.00, 60.00 degrees
With the nearest neighbours (Å) after each atom.
Fractional positions:
Ba  0.0000  0.0000  0.0000  12 Cd 3.58, 4 P 3.73
Cd  0.8701  0.3766  0.3766  6 Cd 3.01-3.09
Cd  0.3766  0.3766  0.8701  6 Cd 3.01-3.09
Cd  0.3766  0.8701  0.3766  6 Cd 3.01-3.09
Cd  0.3766  0.3766  0.3766  6 Cd 3.01-3.09
P  0.7500  0.7500  0.7500  12 Cd 3.57, 4 Ba 3.73

Values from the calculation:
Raw total energy in eV/atom: -1.804
Space-group type: F-43m

=====

BaCdP | PBE-GGA | optimized geometry

Cell lengths 4.7334, 7.8997, 9.9108 Å; angles 90.00, 90.00, 90.00 degrees
With the nearest neighbours (Å) after each atom.
Fractional positions:
Ba  0.2500  0.3651  0.1464  5 P 3.25-3.35, 2 Cd 3.61
Ba  0.7500  0.6349  0.8536  5 P 3.25-3.35, 2 Cd 3.61
Ba  0.7500  0.1349  0.6464  5 P 3.25-3.35, 2 Cd 3.61
Ba  0.2500  0.8651  0.3536  5 P 3.25-3.35, 2 Cd 3.61
Cd  0.2500  0.5186  0.5952  2 P 2.62-2.69
Cd  0.7500  0.4814  0.4048  2 P 2.62-2.69
Cd  0.7500  0.9814  0.0952  2 P 2.62-2.69
Cd  0.2500  0.0186  0.9048  2 P 2.62-2.69
P  0.2500  0.8415  0.6807  2 Cd 2.62-2.69
P  0.7500  0.1585  0.3193  2 Cd 2.62-2.69
P  0.7500  0.6585  0.1807  2 Cd 2.62-2.69
P  0.2500  0.3415  0.8193  2 Cd 2.62-2.69

Values from the calculation:
Energy above the most stable polymorph in this dataset in meV/atom: 39
Space-group type: Pnma

=====

BaCdP | PBE-GGA | optimized geometry

Cell lengths 4.5029, 4.5041, 9.8298 Å; angles 90.00, 90.00, 119.99 degrees
With the nearest neighbours (Å) after each atom.
Fractional positions:
Ba  0.0000  0.0000  0.0000  6 Cd 3.58, 6 P 3.58
Ba  0.0000  0.0000  0.5000  6 Cd 3.58, 6 P 3.58
Cd  0.6669  0.3338  0.2500  3 P 2.60
Cd  0.3331  0.6662  0.7500  3 P 2.60
P  0.3336  0.6673  0.2500  3 Cd 2.60
P  0.6664  0.3327  0.7500  3 Cd 2.60

Values from the calculation:
Energy above the most stable polymorph in this dataset in meV/atom: 150
Space-group type: P6_3/mmc

=====

| no. | density of states at the Fermi level (states/eV per atom) |
| --- | --- |
| 1 | 0.289 |
| 2 | 0.561 |
| 3 | 0.259 |
| 4 | 0.002 |
| 5 | 0.466 |
| 6 | 0.153 |
| 7 | 1.198 |
| 8 | 1.041 |
| 9 | 1.258 |
| 10 | 0.314 |
| 11 | 0.519 |
| 12 | 1.154 |
| 13 | 0.632 |
| 14 | 0.369 |
| 15 | 0.763 |
| 16 | 0.291 |
| 17 | 0.634 |
| 18 | 0.723 |
| 19 | 0.469 |
| 20 | 0.855 |